# 1
The following is a PBE calculation of a relaxed Mg7GeAu4 crystal, from Alexandria via LeMat-Bulk.

Results
DFT formation energy: -332.1 meV/atom

Geometry as POSCAR:
```
Mg7GeAu4
1.0
6.717 -2.448 0.000
6.717 2.448 0.000
-5.984 0.000 7.659
Mg Ge Au
7 1 4
Cartesian
0.000 0.000 0.000
-1.404 0.000 4.604
3.024 0.000 1.007
1.785 0.000 5.120
5.665 0.000 2.539
4.426 0.000 6.652
8.854 0.000 3.055
6.717 0.000 0.000
-3.728 0.000 5.947
0.747 0.000 2.646
6.704 0.000 5.013
11.179 0.000 1.712
```


# 2
The following is a PBE calculation of a relaxed CdPCl2 crystal, from Alexandria via LeMat-Bulk.

Results
uncorrected formation energy: -1.8 kJ per mole of atoms
relative energy among the computed polymorphs: 376 meV/atom

Geometry as POSCAR:
```
CdPCl2
1.0
3.630 0.000 0.000
-1.815 3.144 0.000
0.000 0.000 25.734
Cd P Cl
3 3 6
Cartesian
0.000 0.000 0.000
0.000 2.096 17.156
1.815 1.048 8.578
0.000 0.000 6.792
0.000 2.096 23.948
1.815 1.048 15.370
0.000 0.000 13.686
0.000 0.000 18.804
0.000 2.096 5.108
0.000 2.096 10.226
1.815 1.048 1.648
1.815 1.048 22.264
```


# 3
The following is a PBE calculation of a relaxed Pr2MgAl3 crystal, from Alexandria via LeMat-Bulk.

Results
DFT formation energy: -368.5 meV/atom
relative energy among the computed polymorphs: 27 meV/atom

Geometry as POSCAR:
```
Pr2MgAl3
1.0
0.000 4.760 8.209
3.767 0.000 8.209
3.767 4.760 0.000
Pr Mg Al
4 2 6
Cartesian
5.660 4.760 8.209
1.884 2.380 4.105
5.651 7.139 12.314
1.874 4.760 8.209
3.767 4.760 2.747
3.767 4.760 13.671
3.767 2.444 6.871
3.767 4.760 5.538
3.767 2.444 9.548
3.767 7.075 6.871
3.767 4.760 10.880
3.767 7.075 9.548
```


# 4
The following is a PBE calculation of a relaxed RbTlAs crystal, from Alexandria via LeMat-Bulk.

Results
DFT formation energy: -109.2 meV/atom
relative energy among the computed polymorphs: 122 meV/atom

Geometry as POSCAR:
```
RbTlAs
1.0
3.711 0.000 0.000
0.000 3.711 0.000
0.000 0.000 14.053
Rb Tl As
2 2 2
Cartesian
0.000 0.000 0.000
1.855 1.855 7.027
0.000 0.000 4.086
1.855 1.855 11.113
0.000 0.000 9.430
1.855 1.855 2.404
```